GGA+U RbGaNi2F8, optimized geometry; crystal system = triclinic; total energy = -52.3 eV/cell
1.0
4.644 0.023 -0.116
0.055 4.688 0.366
-0.161 0.461 8.717
F Ni Ga Rb
8 2 1 1
direct
0.200 0.759 0.165
0.463 0.302 0.382
0.537 0.698 0.618
0.800 0.241 0.835
0.168 0.828 0.840
0.309 0.287 0.996
0.832 0.172 0.160
0.691 0.713 0.004
0.495 0.550 0.822
0.505 0.450 0.178
0.000 0.000 0.000
0.000 0.000 0.500